No. 1
Here is a geometry-optimized KSrTlO3 structure from Alexandria via LeMat-Bulk. Energies are from GGA-PBE.

Values from the calculation:
As for the total energy: -4.81 eV per atom. The theoretical density is 4.60 Mg/m³. The calculation puts the raw formation energy at -1.47 eV per atom. The magnetic moment is 0.054 μB per formula unit.

abc: 3.9464 7.3415 9.8042
angles: 90.00 90.00 105.59
Element x y z (fractional)
O 0.3874 0.7749 0.5443
Tl 0.4089 0.8177 0.7500
O 0.0195 0.0390 0.7500
Tl 0.5911 0.1823 0.2500
K 0.3381 0.6761 0.2500
Sr 0.0000 0.0000 0.5000
Sr 0.0000 0.0000 0.0000
K 0.6619 0.3239 0.7500
O 0.6126 0.2251 0.4557
O 0.3874 0.7749 0.9557
O 0.6126 0.2251 0.0443
O 0.9805 0.9610 0.2500

=====

No. 2
Here is a geometry-optimized K2SrUO4 structure from Alexandria via LeMat-Bulk. Energies are from GGA-PBE.

Values from the calculation:
As for the total energy: -6.82 eV per atom. The theoretical density is 5.40 Mg/m³. The calculation puts the raw formation energy at -2.45 eV per atom. The magnetic moment is 1.997 μB per formula unit.

abc: 3.6169 6.3322 6.6388
angles: 108.91 90.00 90.00
Element x y z (fractional)
O 0.5000 0.7270 0.8139
O 0.0000 0.7114 0.1937
U 0.5000 0.5000 0.0000
K 0.0000 0.5000 0.5000
O 0.5000 0.2730 0.1861
K 0.5000 0.0000 0.5000
Sr 0.0000 0.0000 0.0000
O 0.0000 0.2886 0.8063

=====

No. 3
Here is a geometry-optimized KSrUO4 structure from Alexandria via LeMat-Bulk. Energies are from GGA-PBE.

Values from the calculation:
As for the total energy: -7.69 eV per atom. The theoretical density is 5.72 Mg/m³. The calculation puts the raw formation energy at -2.85 eV per atom. The magnetic moment is 1.000 μB per formula unit.

abc: 4.3909 4.3909 7.1642
angles: 107.85 107.85 90.00
Element x y z (fractional)
O 0.5105 0.0105 0.0211
K 0.3494 0.3494 0.6989
O 0.1541 0.1541 0.3082
U 0.9954 0.9954 0.9908
Sr 0.6449 0.6449 0.2898
O 0.0105 0.5105 0.0211
O 0.8351 0.8351 0.6702

=====

No. 4
Here is a geometry-optimized KSr2UO5 structure from Alexandria via LeMat-Bulk. Energies are from GGA-PBE.

Values from the calculation:
As for the total energy: -7.34 eV per atom. The theoretical density is 5.37 Mg/m³. The calculation puts the raw formation energy at -2.84 eV per atom. The magnetic moment is 1.000 μB per formula unit.

abc: 4.3579 6.3489 7.0865
angles: 116.61 107.91 90.00
Element x y z (fractional)
O 0.0000 0.0000 0.0000
O 0.3641 0.6412 0.7283
K 0.0000 0.5000 0.0000
Sr 0.7773 0.7773 0.5545
U 0.5000 0.0000 0.0000
O 0.6358 0.9129 0.2717
O 0.6358 0.3588 0.2717
Sr 0.2227 0.2227 0.4455
O 0.3641 0.0871 0.7283